{
  "formula": "Hf2SnSb",
  "functional": "GGA-PBE",
  "state": "relaxed",
  "lattice": [[4.0921, 0.0000, 0.0000], [2.0460, 3.5438, 0.0000], [2.0460, 1.1813, 6.8700]],
  "species": ["Hf", "Hf", "Sn", "Sb"],
  "fractional_positions": [[0.0812, 0.0812, 0.7563], [0.2514, 0.2514, 0.2458], [0.4988, 0.4988, 0.5036], [0.6685, 0.6685, 0.9944]],
  "sg": "R3m",
  "magmom_total_mub_per_cell": 0.00,
  "e_form_raw_ev_per_atom": -0.206
}

{
  "formula": "HfSn2Sb",
  "functional": "GGA-PBE",
  "state": "relaxed",
  "lattice": [[6.6646, 0.0000, 0.0000], [0.0000, 6.6646, 0.0000], [3.3323, 3.3323, 6.7104]],
  "species": ["Sb", "Sb", "Hf", "Hf", "Sn", "Sn", "Sn", "Sn"],
  "fractional_positions": [[0.5000, 0.5000, 0.0000], [0.2500, 0.7500, 0.5000], [0.0000, 0.0000, 0.0000], [0.7500, 0.2500, 0.5000], [0.6334, 0.1250, 0.2500], [0.1166, 0.6250, 0.2500], [0.3750, 0.3666, 0.7500], [0.8750, 0.8834, 0.7500]],
  "sg": "I-42d",
  "magmom_total_mub_per_cell": 0.00,
  "e_form_raw_ev_per_atom": 0.483
}

{
  "formula": "HfSnSb",
  "functional": "GGA-PBE",
  "state": "relaxed",
  "lattice": [[-2.3249, 1.7217, 1.2613], [-1.2450, -3.9366, 3.0789], [3.4396, 3.5016, 1.5602]],
  "species": ["Sb", "Hf", "Sn"],
  "fractional_positions": [[0.1666, 0.3333, 0.6667], [0.1665, 0.0000, 0.0000], [0.6669, 0.6667, 0.3333]],
  "sg": "P-6m2",
  "magmom_total_mub_per_cell": 0.00,
  "e_form_raw_ev_per_atom": -0.008
}

{
  "formula": "Hf2SnSb",
  "functional": "GGA-PBE",
  "state": "relaxed",
  "lattice": [[4.1033, 0.0000, 0.0000], [2.0517, 3.5536, 0.0000], [2.0517, 1.1845, 6.7308]],
  "species": ["Sb", "Hf", "Hf", "Sn"],
  "fractional_positions": [[0.5000, 0.5000, 0.5000], [0.2513, 0.2513, 0.2461], [0.7487, 0.7487, 0.7539], [0.0000, 0.0000, 0.0000]],
  "sg": "R-3m",
  "magmom_total_mub_per_cell": 0.00,
  "e_form_raw_ev_per_atom": -0.236
}

{
  "formula": "Hf6SnSb",
  "functional": "GGA-PBE",
  "state": "relaxed",
  "lattice": [[7.9114, -0.0025, 0.1880], [3.9393, 6.8439, 0.0220], [3.8794, 2.3085, 3.2775]],
  "species": ["Hf", "Hf", "Hf", "Hf", "Hf", "Hf", "Sn", "Sb"],
  "fractional_positions": [[0.9999, 0.4993, 0.7500], [0.7505, 0.0016, 0.7513], [0.5023, 0.2493, 0.2480], [0.2495, 0.9984, 0.2487], [0.0001, 0.5007, 0.2500], [0.4977, 0.7507, 0.7520], [0.0000, 0.0000, 0.0000], [0.5000, 0.5000, 0.5000]],
  "sg": "P-1",
  "magmom_total_mub_per_cell": 0.00,
  "e_form_raw_ev_per_atom": -0.232
}

{
  "formula": "Hf5SnSb",
  "functional": "GGA-PBE",
  "state": "relaxed",
  "lattice": [[-2.9807, -4.8668, 4.7898], [4.2664, -1.1474, 5.9995], [-2.1964, 0.7203, 10.9439]],
  "species": ["Hf", "Hf", "Hf", "Hf", "Hf", "Hf", "Hf", "Hf", "Hf", "Hf", "Sn", "Sn", "Sb", "Sb"],
  "fractional_positions": [[0.6969, 0.6606, 0.1353], [0.4736, 0.7908, 0.4132], [0.6606, 0.6969, 0.6353], [0.8329, 0.1671, 0.2500], [0.2092, 0.5264, 0.0868], [0.7908, 0.4736, 0.9132], [0.1671, 0.8329, 0.7500], [0.3394, 0.3031, 0.3647], [0.5264, 0.2092, 0.5868], [0.3031, 0.3394, 0.8647], [0.1993, 0.8007, 0.2500], [0.8007, 0.1993, 0.7500], [0.0000, 0.0000, 0.0000], [0.0000, 0.0000, 0.5000]],
  "sg": "C2/c",
  "magmom_total_mub_per_cell": 0.00,
  "e_form_raw_ev_per_atom": 0.100
}